## TaZn2Se (GGA-PBE)

Data for a relaxed TaZn2Se crystal. Values from VASP.

```
&SYSTEM
  ibrav = 0, nat = 4, ntyp = 3
/
ATOMIC_SPECIES
Ta 180.95 Ta.upf
Zn 65.41 Zn.upf
Se 78.96 Se.upf
CELL_PARAMETERS angstrom
3.172 0.000 0.000
0.000 4.379 0.000
0.000 0.000 4.825
ATOMIC_POSITIONS angstrom
Ta 0.000 0.000 0.000
Zn 0.000 2.189 2.413
Zn 1.586 0.000 2.413
Se 1.586 2.189 0.000
```

Output
The raw formation energy comes out at 0.177 eV per atom. The crystal system is orthorhombic. The volume is 67 Å³/cell.